Entry 1:
Tm4Mg2Al | PBE | optimized geometry

Lattice parameters (Å, degrees): 8.886 8.886 8.886 33.60 33.60 33.60
Atoms (fractional coordinates):
Tm: 0.122 0.122 0.122
Tm: 0.374 0.374 0.374
Tm: 0.626 0.626 0.626
Tm: 0.878 0.878 0.878
Mg: 0.246 0.246 0.246
Mg: 0.754 0.754 0.754
Al: 0.500 0.500 0.500

---

Entry 2:
Ce2GdCo | PBE | optimized geometry

Lattice parameters (Å, degrees): 3.681 3.681 26.509 90.00 90.00 120.00
Atoms (fractional coordinates):
Ce: 0.000 0.000 0.227
Ce: 0.000 0.000 0.773
Ce: 0.333 0.667 0.440
Ce: 0.333 0.667 0.894
Ce: 0.667 0.333 0.106
Ce: 0.667 0.333 0.560
Gd: 0.000 0.000 0.000
Gd: 0.333 0.667 0.667
Gd: 0.667 0.333 0.333
Co: 0.000 0.000 0.500
Co: 0.333 0.667 0.167
Co: 0.667 0.333 0.833

Results
ΔE to the lowest computed polymorph, meV/atom: 0

---

Entry 3:
NaNbTc2 | PBE | optimized geometry

Lattice parameters (Å, degrees): 6.390 6.390 6.390 90.00 90.00 90.00
Atoms (fractional coordinates):
Na: 0.000 0.000 0.000
Na: 0.000 0.500 0.500
Na: 0.500 0.000 0.500
Na: 0.500 0.500 0.000
Nb: 0.000 0.000 0.500
Nb: 0.000 0.500 0.000
Nb: 0.500 0.000 0.000
Nb: 0.500 0.500 0.500
Tc: 0.250 0.250 0.250
Tc: 0.250 0.250 0.750
Tc: 0.250 0.750 0.250
Tc: 0.250 0.750 0.750
Tc: 0.750 0.250 0.250
Tc: 0.750 0.250 0.750
Tc: 0.750 0.750 0.250
Tc: 0.750 0.750 0.750

Results
ΔE to the lowest computed polymorph, meV/atom: 0

---

Record order is preserved below.
ΔE_f: 45.0, -9.8, 683.3 meV/atom